(1)
Entry from Alexandria: an optimized crystal structure of TbPmRh4 (PBE).

```
data_TbPmRh4
_symmetry_space_group_name_H-M 'F -4 3 m'
_symmetry_Int_Tables_number 216
_symmetry_space_group_name_Hall 'F -4 2 3'
_cell_length_a 7.5994
_cell_length_b 7.5994
_cell_length_c 7.5994
_cell_angle_alpha 90.00
_cell_angle_beta 90.00
_cell_angle_gamma 90.00
loop_
_atom_site_label
_atom_site_fract_x
_atom_site_fract_y
_atom_site_fract_z
Tb1 0.0000 0.0000 0.0000
Pm1 0.2500 0.2500 0.7500
Rh1 0.1251 0.1251 0.3749
```

Energy relative to the elements (eV per atom): -0.70
Density (g cm⁻³): 10.8
N(E_F) (states/eV per cell): 15.90
Total moment (Bohr magnetons per cell): 0.0

(2)
Entry from Alexandria: an optimized crystal structure of AcNdTh2Se4 (PBE).

```
data_AcNdTh2Se4
_symmetry_space_group_name_H-M 'P 1 2/m 1'
_symmetry_Int_Tables_number 10
_cell_length_a 7.3353
_cell_length_b 4.2899
_cell_length_c 7.4482
_cell_angle_alpha 90.00
_cell_angle_beta 109.52
_cell_angle_gamma 90.00
loop_
_symmetry_equiv_pos_as_xyz
'x,y,z'
'-x,-y,-z'
'-x,y,-z'
'x,-y,z'
loop_
_atom_site_label
_atom_site_fract_x
_atom_site_fract_y
_atom_site_fract_z
Ac1 0.0000 0.0000 0.0000
Nd1 0.5000 0.5000 0.0000
Th1 0.0000 0.5000 0.5000
Th2 0.5000 0.0000 0.5000
Se1 0.2549 0.0000 0.7452
Se2 0.2598 0.5000 0.2592
```

Uncorrected formation energy (eV per atom): -1.6682
Density (g cm⁻³): 8.7
N(E_F) (states/eV per cell): 5.42
Total moment (Bohr magnetons per cell): 0.0

(3)
Entry from Alexandria: an optimized crystal structure of ErThPd2 (PBE).

```
data_ErThPd2
_symmetry_space_group_name_H-M 'F m -3 m'
_symmetry_Int_Tables_number 225
_symmetry_space_group_name_Hall '-F 4 2 3'
_cell_length_a 7.1389
_cell_length_b 7.1389
_cell_length_c 7.1389
_cell_angle_alpha 90.00
_cell_angle_beta 90.00
_cell_angle_gamma 90.00
loop_
_atom_site_label
_atom_site_fract_x
_atom_site_fract_y
_atom_site_fract_z
Er1 0.0000 0.0000 0.0000
Th1 0.0000 0.0000 0.5000
Pd1 0.2500 0.2500 0.2500
```

Energy relative to the elements (eV per atom): -0.77
Density (g cm⁻³): 11.2
N(E_F) (states/eV per cell): 12.02
Total moment (Bohr magnetons per cell): 0.0